DFT (PBE+U) results for crystalline CsBe2NiF8 at its relaxed geometry.

Cell: 9.011 9.011 9.011 Å, 31.71 31.71 31.71°
Fractional coordinates of all 12 atoms:
Cs: 0.000 0.000 0.000
Be: 0.232 0.232 0.232
Be: 0.768 0.768 0.768
Ni: 0.500 0.500 0.500
F: 0.115 0.740 0.515
F: 0.260 0.485 0.885
F: 0.290 0.290 0.290
F: 0.485 0.885 0.260
F: 0.515 0.115 0.740
F: 0.710 0.710 0.710
F: 0.740 0.515 0.115
F: 0.885 0.260 0.485

Output
As for the calculated total energy: -4.851 eV per atom. As for the space-group type: R-3, No. 148.